The following is a DFT calculation (PBE) of a relaxed Li2HfTaFe crystal.

```
Li2HfTaFe
1.0
4.6001 0.0000 0.0000
0.0000 4.9122 0.0000
0.0000 0.0000 4.6001
Li Hf Fe Ta
2 1 1 1
direct
0.0000 0.0000 0.5000 Li
0.5000 0.0000 0.0000 Li
0.0000 0.0000 0.0000 Hf
0.5000 0.5000 0.5000 Fe
0.0000 0.5000 0.0000 Ta
```

Summary:
* formation enthalpy at 0 K: 2.09 eV per atom
* theoretical density: 6.86 g/cm3
* E: -23.66 eV for the cell shown